1.
Compound: Ac3TlSn2
Source: Alexandria
Functional: PBE
Structure: relaxed

Lattice parameters (Å, degrees): 13.483 4.951 13.092 90.00 90.00 90.00
Fractional coordinates of all 24 atoms:
Ac (0.044, 0.250, 0.123)
Ac (0.129, 0.750, 0.564)
Ac (0.206, 0.250, 0.806)
Ac (0.294, 0.750, 0.306)
Ac (0.371, 0.250, 0.064)
Ac (0.456, 0.750, 0.623)
Ac (0.544, 0.250, 0.377)
Ac (0.629, 0.750, 0.936)
Ac (0.706, 0.250, 0.694)
Ac (0.794, 0.750, 0.194)
Ac (0.871, 0.250, 0.436)
Ac (0.956, 0.750, 0.877)
Tl (0.141, 0.250, 0.360)
Tl (0.359, 0.750, 0.860)
Tl (0.641, 0.250, 0.140)
Tl (0.859, 0.750, 0.640)
Sn (0.008, 0.750, 0.319)
Sn (0.185, 0.750, 0.018)
Sn (0.315, 0.250, 0.518)
Sn (0.492, 0.250, 0.819)
Sn (0.508, 0.750, 0.181)
Sn (0.685, 0.750, 0.482)
Sn (0.815, 0.250, 0.982)
Sn (0.992, 0.250, 0.681)

- polymorph energy (0 for the lowest one) (eV per atom) = 0.0000



2.
Compound: Ac12Tl6Sn
Source: Alexandria
Functional: PBE
Structure: relaxed

Lattice parameters (Å, degrees): 9.856 9.856 9.856 108.03 108.03 108.03
Fractional coordinates of all 19 atoms:
Ac (0.008, 0.874, 0.305)
Ac (0.117, 0.354, 0.456)
Ac (0.126, 0.695, 0.992)
Ac (0.305, 0.008, 0.874)
Ac (0.354, 0.456, 0.117)
Ac (0.456, 0.117, 0.354)
Ac (0.544, 0.883, 0.646)
Ac (0.646, 0.544, 0.883)
Ac (0.695, 0.992, 0.126)
Ac (0.874, 0.305, 0.008)
Ac (0.883, 0.646, 0.544)
Ac (0.992, 0.126, 0.695)
Tl (0.186, 0.643, 0.337)
Tl (0.337, 0.186, 0.643)
Tl (0.357, 0.663, 0.814)
Tl (0.643, 0.337, 0.186)
Tl (0.663, 0.814, 0.357)
Tl (0.814, 0.357, 0.663)
Sn (0.000, 0.000, 0.000)



3.
Compound: Ac3TlSn2
Source: Alexandria
Functional: PBE
Structure: relaxed

Lattice parameters (Å, degrees): 9.598 9.598 6.936 102.07 102.07 42.26
Fractional coordinates of all 12 atoms:
Ac (0.148, 0.852, 0.750)
Ac (0.209, 0.438, 0.381)
Ac (0.438, 0.209, 0.881)
Ac (0.562, 0.791, 0.119)
Ac (0.791, 0.562, 0.619)
Ac (0.852, 0.148, 0.250)
Tl (0.358, 0.642, 0.250)
Tl (0.642, 0.358, 0.750)
Sn (0.050, 0.262, 0.043)
Sn (0.262, 0.050, 0.543)
Sn (0.738, 0.950, 0.457)
Sn (0.950, 0.738, 0.957)

- polymorph energy (0 for the lowest one) (eV per atom) = 0.0485



4.
Compound: Ac3Tl2Sn
Source: Alexandria
Functional: PBE
Structure: relaxed

Lattice parameters (Å, degrees): 13.738 4.898 13.256 90.00 90.00 90.00
Fractional coordinates of all 24 atoms:
Ac (0.055, 0.250, 0.119)
Ac (0.123, 0.750, 0.557)
Ac (0.217, 0.250, 0.801)
Ac (0.283, 0.750, 0.301)
Ac (0.377, 0.250, 0.057)
Ac (0.445, 0.750, 0.619)
Ac (0.555, 0.250, 0.381)
Ac (0.623, 0.750, 0.943)
Ac (0.717, 0.250, 0.699)
Ac (0.783, 0.750, 0.199)
Ac (0.877, 0.250, 0.443)
Ac (0.945, 0.750, 0.881)
Tl (0.004, 0.750, 0.300)
Tl (0.189, 0.750, 0.011)
Tl (0.311, 0.250, 0.511)
Tl (0.496, 0.250, 0.800)
Tl (0.504, 0.750, 0.200)
Tl (0.689, 0.750, 0.489)
Tl (0.811, 0.250, 0.989)
Tl (0.996, 0.250, 0.700)
Sn (0.128, 0.250, 0.371)
Sn (0.372, 0.750, 0.871)
Sn (0.628, 0.250, 0.129)
Sn (0.872, 0.750, 0.629)

- polymorph energy (0 for the lowest one) (eV per atom) = 0.0112



5.
Compound: Ac5Tl2Sn
Source: Alexandria
Functional: PBE
Structure: relaxed

Lattice parameters (Å, degrees): 9.695 9.695 9.695 123.56 123.56 83.93
Fractional coordinates of all 16 atoms:
Ac (0.000, 0.000, 0.000)
Ac (0.012, 0.512, 0.823)
Ac (0.189, 0.012, 0.500)
Ac (0.311, 0.811, 0.823)
Ac (0.488, 0.311, 0.500)
Ac (0.500, 0.500, 0.000)
Ac (0.512, 0.689, 0.500)
Ac (0.689, 0.189, 0.177)
Ac (0.811, 0.988, 0.500)
Ac (0.988, 0.488, 0.177)
Tl (0.136, 0.364, 0.500)
Tl (0.364, 0.864, 0.229)
Tl (0.636, 0.136, 0.771)
Tl (0.864, 0.636, 0.500)
Sn (0.250, 0.250, 0.000)
Sn (0.750, 0.750, 0.000)



6.
Compound: AcTl2Sn
Source: Alexandria
Functional: PBE
Structure: relaxed

Lattice parameters (Å, degrees): 4.123 4.123 7.356 90.00 90.00 90.00
Fractional coordinates of all 4 atoms:
Ac (0.000, 0.000, 0.000)
Tl (0.500, 0.500, 0.285)
Tl (0.500, 0.500, 0.715)
Sn (0.000, 0.000, 0.500)

- polymorph energy (0 for the lowest one) (eV per atom) = 0.1835



7.
Compound: Ac4TlSn15
Source: Alexandria
Functional: PBE
Structure: relaxed

Lattice parameters (Å, degrees): 4.894 4.894 24.730 90.00 90.00 90.00
Fractional coordinates of all 20 atoms:
Ac (0.000, 0.000, 0.100)
Ac (0.000, 0.000, 0.299)
Ac (0.000, 0.000, 0.701)
Ac (0.000, 0.000, 0.900)
Tl (0.000, 0.000, 0.500)
Sn (0.000, 0.500, 0.000)
Sn (0.000, 0.500, 0.201)
Sn (0.000, 0.500, 0.404)
Sn (0.000, 0.500, 0.596)
Sn (0.000, 0.500, 0.799)
Sn (0.500, 0.000, 0.000)
Sn (0.500, 0.000, 0.201)
Sn (0.500, 0.000, 0.404)
Sn (0.500, 0.000, 0.596)
Sn (0.500, 0.000, 0.799)
Sn (0.500, 0.500, 0.100)
Sn (0.500, 0.500, 0.305)
Sn (0.500, 0.500, 0.500)
Sn (0.500, 0.500, 0.695)
Sn (0.500, 0.500, 0.900)



8.
Compound: Ac2TlSn3
Source: Alexandria
Functional: PBE
Structure: relaxed

Lattice parameters (Å, degrees): 4.434 4.907 9.113 90.00 90.00 90.00
Fractional coordinates of all 6 atoms:
Ac (0.000, 0.000, 0.000)
Ac (0.000, 0.500, 0.482)
Tl (0.500, 0.500, 0.825)
Sn (0.500, 0.000, 0.326)
Sn (0.500, 0.000, 0.649)
Sn (0.500, 0.500, 0.155)



9.
Compound: Ac5TlSn4
Source: Alexandria
Functional: PBE
Structure: relaxed

Lattice parameters (Å, degrees): 3.848 3.848 23.064 90.00 90.00 90.00
Fractional coordinates of all 10 atoms:
Ac (0.000, 0.000, 0.000)
Ac (0.000, 0.000, 0.199)
Ac (0.000, 0.000, 0.397)
Ac (0.000, 0.000, 0.603)
Ac (0.000, 0.000, 0.801)
Tl (0.500, 0.500, 0.500)
Sn (0.500, 0.500, 0.100)
Sn (0.500, 0.500, 0.299)
Sn (0.500, 0.500, 0.701)
Sn (0.500, 0.500, 0.900)



10.
Compound: Ac8Tl5Sn
Source: Alexandria
Functional: PBE
Structure: relaxed

Lattice parameters (Å, degrees): 8.838 8.838 8.838 109.49 109.49 109.43
Fractional coordinates of all 14 atoms:
Ac (0.022, 0.626, 0.746)
Ac (0.231, 0.484, 0.107)
Ac (0.374, 0.120, 0.396)
Ac (0.377, 0.124, 0.893)
Ac (0.516, 0.623, 0.746)
Ac (0.723, 0.978, 0.604)
Ac (0.876, 0.769, 0.254)
Ac (0.880, 0.277, 0.254)
Tl (0.000, 0.000, 0.000)
Tl (0.122, 0.248, 0.626)
Tl (0.504, 0.878, 0.126)
Tl (0.622, 0.496, 0.374)
Tl (0.752, 0.378, 0.874)
Sn (0.250, 0.750, 0.500)



11.
Compound: Ac7Tl4Sn
Source: Alexandria
Functional: PBE
Structure: relaxed

Lattice parameters (Å, degrees): 9.643 9.643 9.544 119.02 119.02 37.67
Fractional coordinates of all 12 atoms:
Ac (0.000, 0.000, 0.000)
Ac (0.218, 0.218, 0.616)
Ac (0.340, 0.340, 0.082)
Ac (0.428, 0.428, 0.601)
Ac (0.572, 0.572, 0.399)
Ac (0.660, 0.660, 0.918)
Ac (0.782, 0.782, 0.384)
Tl (0.051, 0.051, 0.694)
Tl (0.213, 0.213, 0.246)
Tl (0.787, 0.787, 0.754)
Tl (0.949, 0.949, 0.306)
Sn (0.500, 0.500, 0.000)



12.
Compound: Ac3Tl3Sn
Source: Alexandria
Functional: PBE
Structure: relaxed

Lattice parameters (Å, degrees): 6.766 6.766 16.361 105.83 105.83 42.84
Fractional coordinates of all 14 atoms:
Ac (0.008, 0.008, 0.379)
Ac (0.111, 0.111, 0.927)
Ac (0.224, 0.224, 0.226)
Ac (0.776, 0.776, 0.774)
Ac (0.889, 0.889, 0.073)
Ac (0.992, 0.992, 0.621)
Tl (0.355, 0.355, 0.459)
Tl (0.391, 0.391, 0.923)
Tl (0.493, 0.493, 0.223)
Tl (0.507, 0.507, 0.777)
Tl (0.609, 0.609, 0.077)
Tl (0.645, 0.645, 0.541)
Sn (0.286, 0.286, 0.628)
Sn (0.714, 0.714, 0.372)

- polymorph energy (0 for the lowest one) (eV per atom) = 0.0000



13.
Compound: Ac4Tl3Sn5
Source: Alexandria
Functional: PBE
Structure: relaxed

Lattice parameters (Å, degrees): 8.053 8.053 13.776 120.62 120.62 39.06
Fractional coordinates of all 12 atoms:
Ac (0.116, 0.116, 0.471)
Ac (0.244, 0.244, 0.806)
Ac (0.756, 0.756, 0.194)
Ac (0.884, 0.884, 0.529)
Tl (0.000, 0.000, 0.000)
Tl (0.349, 0.349, 0.097)
Tl (0.651, 0.651, 0.903)
Sn (0.234, 0.234, 0.330)
Sn (0.441, 0.441, 0.364)
Sn (0.500, 0.500, 0.000)
Sn (0.559, 0.559, 0.636)
Sn (0.766, 0.766, 0.670)



14.
Compound: Ac12Tl5Sn2
Source: Alexandria
Functional: PBE
Structure: relaxed

Lattice parameters (Å, degrees): 10.375 10.375 10.969 102.77 102.77 45.07
Fractional coordinates of all 19 atoms:
Ac (0.008, 0.008, 0.287)
Ac (0.066, 0.581, 0.892)
Ac (0.102, 0.599, 0.431)
Ac (0.401, 0.898, 0.569)
Ac (0.419, 0.934, 0.108)
Ac (0.451, 0.451, 0.178)
Ac (0.549, 0.549, 0.822)
Ac (0.581, 0.066, 0.892)
Ac (0.599, 0.102, 0.431)
Ac (0.898, 0.401, 0.569)
Ac (0.934, 0.419, 0.108)
Ac (0.992, 0.992, 0.713)
Tl (0.173, 0.173, 0.838)
Tl (0.200, 0.200, 0.362)
Tl (0.500, 0.500, 0.500)
Tl (0.800, 0.800, 0.638)
Tl (0.827, 0.827, 0.162)
Sn (0.193, 0.807, 0.000)
Sn (0.807, 0.193, 0.000)



15.
Compound: Ac2TlSn2
Source: Alexandria
Functional: PBE
Structure: relaxed

Lattice parameters (Å, degrees): 8.478 8.478 9.566 90.00 90.00 90.00
Fractional coordinates of all 20 atoms:
Ac (0.178, 0.322, 0.000)
Ac (0.178, 0.322, 0.500)
Ac (0.322, 0.822, 0.000)
Ac (0.322, 0.822, 0.500)
Ac (0.678, 0.178, 0.000)
Ac (0.678, 0.178, 0.500)
Ac (0.822, 0.678, 0.000)
Ac (0.822, 0.678, 0.500)
Tl (0.000, 0.000, 0.250)
Tl (0.000, 0.000, 0.750)
Tl (0.500, 0.500, 0.250)
Tl (0.500, 0.500, 0.750)
Sn (0.122, 0.622, 0.250)
Sn (0.122, 0.622, 0.750)
Sn (0.378, 0.122, 0.250)
Sn (0.378, 0.122, 0.750)
Sn (0.622, 0.878, 0.250)
Sn (0.622, 0.878, 0.750)
Sn (0.878, 0.378, 0.250)
Sn (0.878, 0.378, 0.750)



16.
Compound: AcTl2Sn
Source: Alexandria
Functional: PBE
Structure: relaxed

Lattice parameters (Å, degrees): 7.967 7.967 7.967 90.00 90.00 90.00
Fractional coordinates of all 16 atoms:
Ac (0.000, 0.000, 0.000)
Ac (0.000, 0.500, 0.500)
Ac (0.500, 0.000, 0.500)
Ac (0.500, 0.500, 0.000)
Tl (0.250, 0.250, 0.250)
Tl (0.250, 0.250, 0.750)
Tl (0.250, 0.750, 0.250)
Tl (0.250, 0.750, 0.750)
Tl (0.750, 0.250, 0.250)
Tl (0.750, 0.250, 0.750)
Tl (0.750, 0.750, 0.250)
Tl (0.750, 0.750, 0.750)
Sn (0.000, 0.000, 0.500)
Sn (0.000, 0.500, 0.000)
Sn (0.500, 0.000, 0.000)
Sn (0.500, 0.500, 0.500)

- polymorph energy (0 for the lowest one) (eV per atom) = 0.1506



17.
Compound: Ac2Tl2Sn
Source: Alexandria
Functional: PBE
Structure: relaxed

Lattice parameters (Å, degrees): 4.027 4.962 16.896 90.00 90.00 90.00
Fractional coordinates of all 10 atoms:
Ac (0.000, 0.000, 0.000)
Ac (0.000, 0.000, 0.240)
Ac (0.000, 0.500, 0.500)
Ac (0.000, 0.500, 0.740)
Tl (0.500, 0.000, 0.618)
Tl (0.500, 0.000, 0.816)
Tl (0.500, 0.500, 0.118)
Tl (0.500, 0.500, 0.316)
Sn (0.500, 0.000, 0.422)
Sn (0.500, 0.500, 0.922)

- polymorph energy (0 for the lowest one) (eV per atom) = 0.0235



18.
Compound: Ac2Tl4Sn
Source: Alexandria
Functional: PBE
Structure: relaxed

Lattice parameters (Å, degrees): 7.120 7.120 11.832 90.00 90.00 51.15
Fractional coordinates of all 14 atoms:
Ac (0.147, 0.147, 0.000)
Ac (0.353, 0.353, 0.500)
Ac (0.647, 0.647, 0.500)
Ac (0.853, 0.853, 0.000)
Tl (0.003, 0.497, 0.750)
Tl (0.241, 0.759, 0.750)
Tl (0.259, 0.741, 0.250)
Tl (0.497, 0.003, 0.250)
Tl (0.503, 0.997, 0.750)
Tl (0.741, 0.259, 0.750)
Tl (0.759, 0.241, 0.250)
Tl (0.997, 0.503, 0.250)
Sn (0.000, 0.000, 0.500)
Sn (0.500, 0.500, 0.000)



19.
Compound: Ac3Tm2Sn4
Source: Alexandria
Functional: PBE
Structure: relaxed

Lattice parameters (Å, degrees): 7.290 7.290 10.110 111.96 111.96 38.01
Fractional coordinates of all 9 atoms:
Ac (0.000, 0.000, 0.000)
Ac (0.382, 0.382, 0.300)
Ac (0.618, 0.618, 0.700)
Tm (0.314, 0.314, 0.645)
Tm (0.686, 0.686, 0.355)
Sn (0.078, 0.078, 0.415)
Sn (0.289, 0.289, 0.932)
Sn (0.711, 0.711, 0.068)
Sn (0.922, 0.922, 0.585)

- polymorph energy (0 for the lowest one) (eV per atom) = 0.0000



The density results, record by record, are as follows: 8.53, 8.73, 8.90, 9.00, 9.11, 10.02, 8.11, 8.50, 8.82, 9.24, 9.01, 9.64, 7.41, 8.15, 8.65, 9.91, 9.65, 9.88, 8.16 g/cm³.
The calculated total energy results, record by record, are as follows: -103.9, -69.8, -51.3, -93.9, -64.7, -13.7, -86.4, -25.3, -44.5, -53.5, -45.1, -52.6, -46.3, -72.2, -86.4, -55.1, -38.0, -45.1, -42.9 eV for the cell shown.
The energy relative to the elements results, record by record, are as follows: -0.54, -0.12, -0.50, -0.40, -0.39, -0.20, -0.38, -0.46, -0.56, -0.34, -0.24, -0.41, -0.23, -0.16, -0.60, -0.23, -0.41, -0.13, -0.62 eV/atom.